Entry 1:
# NdThCdIn | Alexandria via LeMat-Bulk | PBE | optimized geometry
# Total energy (eV per atom): -4.23
# Calculated formation energy (eV per atom): -0.2721
# Theoretical density (g cm⁻³): 8.7
data_NdThCdIn
_chemical_formula_sum 'Nd4 Th4 Cd4 In4'
_cell_length_a 7.7279
_cell_length_b 7.7279
_cell_length_c 7.7279
_cell_angle_alpha 90.00
_cell_angle_beta 90.00
_cell_angle_gamma 90.00
_space_group_name_H-M_alt 'F -4 3 m'
_space_group_IT_number 216
_space_group_name_Hall 'F -4 2 3'
loop_
_atom_site_label
_atom_site_fract_x
_atom_site_fract_y
_atom_site_fract_z
_atom_site_occupancy
Nd1 0.0000 0.0000 0.0000 1
Th1 0.0000 0.0000 0.5000 1
Cd1 0.2500 0.2500 0.7500 1
In1 0.2500 0.2500 0.2500 1


Entry 2:
# RbSb2I | Alexandria via LeMat-Bulk | PBE | optimized geometry
# Total energy (eV per atom): -2.57
# Energy relative to the elements, uncorrected (meV/atom): 118.7
# Theoretical density (g cm⁻³): 4.6
data_RbSb2I
_chemical_formula_sum 'Rb4 Sb8 I4'
_cell_length_a 10.2572
_cell_length_b 10.2572
_cell_length_c 6.3234
_cell_angle_alpha 90.00
_cell_angle_beta 90.00
_cell_angle_gamma 90.00
_space_group_name_H-M_alt 'I -4 2 d'
_space_group_IT_number 122
_space_group_name_Hall 'I -4 2bw'
loop_
_atom_site_label
_atom_site_fract_x
_atom_site_fract_y
_atom_site_fract_z
_atom_site_occupancy
Rb1 0.0000 0.0000 0.0000 1
Sb1 0.2169 0.2500 0.6250 1
I1 0.0000 0.0000 0.5000 1


Entry 3:
# Pm4NiBr2Cl | Alexandria via LeMat-Bulk | PBE | optimized geometry
# Total energy (eV per atom): -4.77
# Energy relative to the elements, uncorrected (meV/atom): -1020.5
# Theoretical density (g cm⁻³): 6.5
data_Pm4NiBr2Cl
_chemical_formula_sum 'Pm4 Ni1 Br2 Cl1'
_cell_length_a 7.0309
_cell_length_b 3.9806
_cell_length_c 7.9621
_cell_angle_alpha 90.00
_cell_angle_beta 107.69
_cell_angle_gamma 90.00
_space_group_name_H-M_alt 'P 1 2/m 1'
_space_group_IT_number 10
loop_
_space_group_symop_operation_xyz
'x,y,z'
'-x,-y,-z'
'-x,y,-z'
'x,-y,z'
loop_
_atom_site_label
_atom_site_fract_x
_atom_site_fract_y
_atom_site_fract_z
_atom_site_occupancy
Pm1 0.2182 0.0000 0.2014 1
Pm2 0.2609 0.5000 0.7929 1
Ni1 0.0000 0.5000 0.0000 1
Br1 0.0000 0.0000 0.5000 1
Br2 0.5000 0.5000 0.5000 1
Cl1 0.5000 0.0000 0.0000 1


Entry 4:
# Cd3FeH | Alexandria via LeMat-Bulk | PBE | optimized geometry
# Total energy (eV per atom): -2.39
# Theoretical density (g cm⁻³): 8.2
data_Cd3FeH
_chemical_formula_sum 'Cd3 Fe1 H1'
_cell_length_a 4.3049
_cell_length_b 4.3049
_cell_length_c 4.3049
_cell_angle_alpha 90.00
_cell_angle_beta 90.00
_cell_angle_gamma 90.00
_space_group_name_H-M_alt 'P m -3 m'
_space_group_IT_number 221
_space_group_name_Hall '-P 4 2 3'
loop_
_atom_site_label
_atom_site_fract_x
_atom_site_fract_y
_atom_site_fract_z
_atom_site_occupancy
Cd1 0.0000 0.0000 0.5000 1
Fe1 0.5000 0.5000 0.5000 1
H1 0.0000 0.0000 0.0000 1


Entry 5:
# TaMnIn2 | Alexandria via LeMat-Bulk | PBE | optimized geometry
# Total energy (eV per atom): -6.33
# Calculated formation energy (eV per atom): 0.2964
# Theoretical density (g cm⁻³): 10.0
data_TaMnIn2
_chemical_formula_sum 'Ta3 Mn3 In6'
_cell_length_a 3.0732
_cell_length_b 3.0732
_cell_length_c 28.4724
_cell_angle_alpha 90.00
_cell_angle_beta 90.00
_cell_angle_gamma 120.00
_space_group_name_H-M_alt 'R -3 m'
_space_group_IT_number 166
_space_group_name_Hall '-R 3 2"'
loop_
_atom_site_label
_atom_site_fract_x
_atom_site_fract_y
_atom_site_fract_z
_atom_site_occupancy
Ta1 0.0000 0.0000 0.0000 1
Mn1 0.0000 0.0000 0.5000 1
In1 0.0000 0.0000 0.2470 1


Entry 6:
# Pr4TlTe3 | Alexandria via LeMat-Bulk | PBE | optimized geometry
# Total energy (eV per atom): -5.08
# Energy relative to the elements, uncorrected (meV/atom): -1219.2
# Theoretical density (g cm⁻³): 7.2
data_Pr4TlTe3
_chemical_formula_sum 'Pr8 Tl2 Te6'
_cell_length_a 6.4272
_cell_length_b 6.4272
_cell_length_c 12.8424
_cell_angle_alpha 90.00
_cell_angle_beta 90.00
_cell_angle_gamma 90.00
_space_group_name_H-M_alt 'I 4/m m m'
_space_group_IT_number 139
_space_group_name_Hall '-I 4 2'
loop_
_atom_site_label
_atom_site_fract_x
_atom_site_fract_y
_atom_site_fract_z
_atom_site_occupancy
Pr1 0.0000 0.0000 0.2485 1
Pr2 0.0000 0.5000 0.0000 1
Tl1 0.0000 0.0000 0.0000 1
Te1 0.0000 0.0000 0.5000 1
Te2 0.0000 0.5000 0.2500 1


Number 1: DOS at the Fermi energy 0.85 states/eV/atom. Number 2: DOS at the Fermi energy 0.43 states/eV/atom. Number 3: DOS at the Fermi energy 0.60 states/eV/atom. Number 4: DOS at the Fermi energy 0.78 states/eV/atom. Number 5: DOS at the Fermi energy 1.03 states/eV/atom. Number 6: DOS at the Fermi energy 0.35 states/eV/atom.